Computed, not measured: a relaxed SmMn2Se4 crystal at the PBE level of DFT.

a b c (Å): 6.594 6.594 12.736
angles (deg): 90.00 90.00 145.46
Fractional positions:
Sm 0.115 0.885 0.750
Sm 0.885 0.115 0.250
Mn 0.368 0.632 0.566
Mn 0.368 0.632 0.934
Mn 0.632 0.368 0.066
Mn 0.632 0.368 0.434
Se 0.000 0.000 0.000
Se 0.000 0.000 0.500
Se 0.275 0.725 0.111
Se 0.275 0.725 0.389
Se 0.444 0.556 0.750
Se 0.556 0.444 0.250
Se 0.725 0.275 0.611
Se 0.725 0.275 0.889

## Properties
As for the space group: Cmcm. Its formation energy from raw total energies is -630 kJ/mol of formula units.



Computed, not measured: a relaxed Ce2NdHo3S6 crystal at the PBE level of DFT.

a b c (Å): 6.821 6.821 6.939
angles (deg): 99.45 99.45 120.04
Fractional positions:
Ce 0.167 0.833 0.000
Ce 0.833 0.167 0.000
Nd 0.500 0.500 0.000
Ho 0.000 0.000 0.500
Ho 0.336 0.664 0.500
Ho 0.664 0.336 0.500
S 0.076 0.412 0.735
S 0.252 0.252 0.263
S 0.412 0.076 0.735
S 0.588 0.924 0.265
S 0.748 0.748 0.737
S 0.924 0.588 0.265

## Properties
As for the space group: C2/m. Its formation energy from raw total energies is -2338 kJ/mol of formula units.



Computed, not measured: a relaxed AcTlSnHg crystal at the PBE level of DFT.

a b c (Å): 4.850 4.890 5.070
angles (deg): 90.00 90.00 90.00
Fractional positions:
Ac 0.000 0.000 0.000
Tl 0.000 0.500 0.500
Sn 0.500 0.500 0.000
Hg 0.500 0.000 0.500

## Properties
The energy above the most stable polymorph in this dataset is 0.00 eV/f.u. As for the space group: Pmmm. For the energy of formation, the calculation gives -0.410 eV per atom.



Computed, not measured: a relaxed TaTi2Ga crystal at the PBE level of DFT.

a b c (Å): 2.884 4.603 10.253
angles (deg): 90.00 96.81 90.00
Fractional positions:
Ta 0.100 0.250 0.423
Ta 0.900 0.750 0.577
Ti 0.392 0.750 0.837
Ti 0.469 0.750 0.317
Ti 0.531 0.250 0.683
Ti 0.608 0.250 0.163
Ga 0.002 0.750 0.077
Ga 0.998 0.250 0.923

## Properties
The energy above the most stable polymorph in this dataset is 0.36 eV/f.u. As for the space group: P2_1/m. For the energy of formation, the calculation gives -0.169 eV per atom.



Computed, not measured: a relaxed Er8GeP3Se4 crystal at the PBE level of DFT.

a b c (Å): 8.099 8.099 8.099
angles (deg): 59.40 59.40 59.40
Fractional positions:
Er 0.242 0.242 0.242
Er 0.242 0.745 0.745
Er 0.255 0.255 0.758
Er 0.255 0.758 0.255
Er 0.745 0.242 0.745
Er 0.745 0.745 0.242
Er 0.758 0.255 0.255
Er 0.758 0.758 0.758
Ge 0.500 0.500 0.500
P 0.000 0.000 0.500
P 0.000 0.500 0.000
P 0.500 0.000 0.000
Se 0.000 0.000 0.000
Se 0.000 0.500 0.500
Se 0.500 0.000 0.500
Se 0.500 0.500 0.000

## Properties
As for the space group: R-3m. Its formation energy from raw total energies is -2573 kJ/mol of formula units.



Computed, not measured: a relaxed TbNd3Dy5 crystal at the PBE level of DFT.

a b c (Å): 8.929 8.929 11.461
angles (deg): 108.05 108.05 44.34
Fractional positions:
Tb 0.227 0.773 0.750
Tb 0.773 0.227 0.250
Nd 0.000 0.000 0.000
Nd 0.000 0.000 0.500
Nd 0.138 0.386 0.645
Nd 0.386 0.138 0.145
Nd 0.614 0.862 0.855
Nd 0.862 0.614 0.355
Dy 0.055 0.296 0.872
Dy 0.296 0.055 0.372
Dy 0.321 0.679 0.250
Dy 0.390 0.396 0.455
Dy 0.396 0.390 0.955
Dy 0.604 0.610 0.045
Dy 0.610 0.604 0.545
Dy 0.679 0.321 0.750
Dy 0.704 0.945 0.628
Dy 0.945 0.704 0.128

## Properties
The energy above the most stable polymorph in this dataset is 0.00 eV/f.u. As for the space group: C2/c. For the energy of formation, the calculation gives 0.157 eV per atom.